No. 1
A plane-wave DFT calculation with PBE was carried out for an optimized crystal structure of CoRh5.

abc: 4.3174 4.3174 5.2694
angles: 90.00 90.00 120.00
Space group P-3m1 (No. 164)
Symmetry-distinct sites (fractional):
Co  0.0000  0.0000  0.0000
Rh  0.0000  0.0000  0.5000
Rh  0.3333  0.6667  0.3651
Rh  0.3333  0.6667  0.8703

Output
Fermi-level density of states	2.03	states/eV per atom
final energy	-7.0254	eV per atom



No. 2
A plane-wave DFT calculation with PBE was carried out for an optimized crystal structure of Tb2Pm8Pr.

abc: 12.0442 7.1062 9.1427
angles: 90.00 102.49 90.00
Space group C2/m (No. 12)
Symmetry-distinct sites (fractional):
Tb  0.1679  0.0000  0.1529
Pm  0.0566  0.2758  0.8274
Pm  0.1551  0.5000  0.5018
Pm  0.2084  0.5000  0.1599
Pr  0.0000  0.0000  0.5000

Output
Fermi-level density of states	1.31	states/eV per atom
final energy	-4.5930	eV per atom



No. 3
A plane-wave DFT calculation with PBE was carried out for an optimized crystal structure of ScTlAg2Os.

abc: 5.2558 5.2558 4.7339
angles: 90.00 90.00 90.00
Space group P4/mmm (No. 123)
Symmetry-distinct sites (fractional):
Sc  0.0000  0.0000  0.0000
Tl  0.5000  0.5000  0.5000
Ag  0.0000  0.5000  0.0000
Os  0.0000  0.0000  0.5000

Output
Fermi-level density of states	1.03	states/eV per atom
final energy	-3.9751	eV per atom



No. 4
A plane-wave DFT calculation with PBE was carried out for an optimized crystal structure of Li2La3Ag3.

abc: 8.8843 15.6185 5.8396
angles: 90.00 90.00 90.00
Space group Pnma (No. 62)
Symmetry-distinct sites (fractional):
Li  0.0953  0.0955  0.1067
La  0.0545  0.6073  0.3876
La  0.2030  0.7500  0.9079
Ag  0.1545  0.2500  0.9041
Ag  0.1939  0.5425  0.8893

Output
Fermi-level density of states	0.95	states/eV per atom
final energy	-3.5587	eV per atom



No. 5
A plane-wave DFT calculation with PBE was carried out for an optimized crystal structure of V2CrHgAs.

abc: 4.5838 4.5838 4.5775
angles: 90.00 90.00 90.00
Space group P4/mmm (No. 123)
Symmetry-distinct sites (fractional):
V  0.0000  0.5000  0.0000
Cr  0.0000  0.0000  0.5000
Hg  0.5000  0.5000  0.5000
As  0.0000  0.0000  0.0000

Output
Fermi-level density of states	1.02	states/eV per atom
final energy	-5.8894	eV per atom



No. 6
A plane-wave DFT calculation with PBE was carried out for an optimized crystal structure of DyEr2Pa.

abc: 3.3958 3.3958 10.0973
angles: 90.00 90.00 90.00
Space group P4/mmm (No. 123)
Symmetry-distinct sites (fractional):
Dy  0.0000  0.0000  0.0000
Er  0.5000  0.5000  0.2653
Pa  0.0000  0.0000  0.5000

Output
Fermi-level density of states	1.71	states/eV per atom
final energy	-5.6823	eV per atom



No. 7
A plane-wave DFT calculation with PBE was carried out for an optimized crystal structure of AlCr2Os.

abc: 3.0123 4.0625 4.3379
angles: 90.00 90.00 90.00
Space group Pmmm (No. 47)
Symmetry-distinct sites (fractional):
Al  0.0000  0.0000  0.0000
Cr  0.0000  0.5000  0.5000
Cr  0.5000  0.0000  0.5000
Os  0.5000  0.5000  0.0000

Output
Fermi-level density of states	0.65	states/eV per atom
final energy	-8.6643	eV per atom



No. 8
A plane-wave DFT calculation with PBE was carried out for an optimized crystal structure of BaTbTe2S6.

abc: 6.7424 7.0582 7.8123
angles: 115.68 91.29 116.84
Space group P1 (No. 1)
Symmetry-distinct sites (fractional):
Ba  0.0000  0.0000  0.0000
Tb  0.5067  0.0389  0.5538
Te  0.2217  0.4336  0.6452
Te  0.6985  0.4421  0.1876
S  0.0942  0.9597  0.3935
S  0.4028  0.9181  0.8451
S  0.4307  0.5539  0.3383
S  0.5525  0.4761  0.8222
S  0.7883  0.2557  0.3517
S  0.9443  0.3183  0.8287

Output
Fermi-level density of states	0.19	states/eV per atom
final energy	-4.6029	eV per atom



No. 9
A plane-wave DFT calculation with PBE was carried out for an optimized crystal structure of LiTcMo2Se.

abc: 4.6538 4.6538 4.1127
angles: 90.00 90.00 90.00
Space group P4/mmm (No. 123)
Symmetry-distinct sites (fractional):
Li  0.0000  0.0000  0.0000
Tc  0.5000  0.5000  0.0000
Mo  0.0000  0.5000  0.5000
Se  0.0000  0.0000  0.5000

Output
Fermi-level density of states	1.34	states/eV per atom
final energy	-6.4438	eV per atom



No. 10
A plane-wave DFT calculation with PBE was carried out for an optimized crystal structure of SbMoS3.

abc: 4.9637 4.9637 4.9637
angles: 90.00 90.00 90.00
Space group Pm-3m (No. 221)
Symmetry-distinct sites (fractional):
Sb  0.0000  0.0000  0.0000
Mo  0.5000  0.5000  0.5000
S  0.0000  0.0000  0.5000

Output
Fermi-level density of states	1.21	states/eV per atom
final energy	-4.4873	eV per atom



No. 11
A plane-wave DFT calculation with PBE was carried out for an optimized crystal structure of NaLi2SmI6.

abc: 7.7269 7.7269 21.2922
angles: 90.00 90.00 120.00
Space group R3 (No. 146, hexagonal axes)
Symmetry-distinct sites (fractional):
Na  0.0000  0.0000  0.0000
Li  0.0000  0.0000  0.1897
Li  0.0000  0.0000  0.6919
Sm  0.0000  0.0000  0.5075
I  0.0163  0.3397  0.7681
I  0.0380  0.6972  0.2666

Output
Fermi-level density of states	0.00	states/eV per atom
final energy	-3.1867	eV per atom



No. 12
A plane-wave DFT calculation with PBE was carried out for an optimized crystal structure of VGaCl2.

abc: 8.5776 8.5776 5.3335
angles: 90.00 90.00 90.00
Space group I-42d (No. 122)
Symmetry-distinct sites (fractional):
V  0.0000  0.0000  0.0000
Ga  0.0000  0.0000  0.5000
Cl  0.1130  0.2500  0.1250

Output
Fermi-level density of states	0.96	states/eV per atom
final energy	-4.4198	eV per atom



No. 13
A plane-wave DFT calculation with PBE was carried out for an optimized crystal structure of KSb2H2.

abc: 4.2926 4.2926 12.3464
angles: 90.00 90.00 90.00
Space group I4/mmm (No. 139)
Symmetry-distinct sites (fractional):
K  0.0000  0.0000  0.0000
Sb  0.0000  0.5000  0.2500
H  0.0000  0.0000  0.3721

Output
Fermi-level density of states	0.54	states/eV per atom
final energy	-2.7945	eV per atom



No. 14
A plane-wave DFT calculation with PBE was carried out for an optimized crystal structure of AlOs2Au.

abc: 9.3003 2.8133 4.7670
angles: 90.00 103.82 90.00
Space group C2/m (No. 12)
Symmetry-distinct sites (fractional):
Al  0.0000  0.0000  0.0000
Os  0.2344  0.5000  0.2298
Au  0.0000  0.5000  0.5000

Output
Fermi-level density of states	0.86	states/eV per atom
final energy	-7.1949	eV per atom



No. 15
A plane-wave DFT calculation with PBE was carried out for an optimized crystal structure of RbCdAsF6.

abc: 5.8906 10.3085 5.8274
angles: 90.00 90.25 90.00
Space group C2 (No. 5)
Symmetry-distinct sites (fractional):
Rb  0.0000  0.0000  0.0000
Cd  0.0000  0.3344  0.5000
As  0.0000  0.6660  0.5000
F  0.1191  0.5101  0.3004
F  0.1662  0.8024  0.3052
F  0.2062  0.1846  0.3040

Output
Fermi-level density of states	0.00	states/eV per atom
final energy	-4.2610	eV per atom



No. 16
A plane-wave DFT calculation with PBE was carried out for an optimized crystal structure of AlNiSCl2.

abc: 4.5901 4.5901 4.8095
angles: 90.00 90.00 90.00
Space group P4/mmm (No. 123)
Symmetry-distinct sites (fractional):
Al  0.0000  0.0000  0.0000
Ni  0.5000  0.5000  0.5000
S  0.0000  0.0000  0.5000
Cl  0.0000  0.5000  0.0000

Output
Fermi-level density of states	0.93	states/eV per atom
final energy	-3.5556	eV per atom



No. 17
A plane-wave DFT calculation with PBE was carried out for an optimized crystal structure of LaNdNiHg.

abc: 7.4526 7.4526 7.4526
angles: 90.00 90.00 90.00
Space group F-43m (No. 216)
Symmetry-distinct sites (fractional):
La  0.0000  0.0000  0.0000
Nd  0.0000  0.0000  0.5000
Ni  0.2500  0.2500  0.7500
Hg  0.2500  0.2500  0.2500

Output
Fermi-level density of states	0.89	states/eV per atom
final energy	-4.2187	eV per atom



No. 18
A plane-wave DFT calculation with PBE was carried out for an optimized crystal structure of Nb8Ga3Ge2.

abc: 12.5099 7.3753 5.2174
angles: 90.00 93.14 90.00
Space group C2/m (No. 12)
Symmetry-distinct sites (fractional):
Nb  0.1045  0.0000  0.0834
Nb  0.1192  0.1846  0.6004
Nb  0.1894  0.5000  0.1071
Ga  0.0000  0.3184  0.0000
Ga  0.0000  0.5000  0.5000
Ge  0.2211  0.5000  0.6126

Output
Fermi-level density of states	0.68	states/eV per atom
final energy	-7.5877	eV per atom



No. 19
A plane-wave DFT calculation with PBE was carried out for an optimized crystal structure of PrAlGa2Pd.

abc: 4.1948 4.1948 11.0916
angles: 90.00 90.00 90.00
Space group I-4m2 (No. 119)
Symmetry-distinct sites (fractional):
Pr  0.0000  0.0000  0.0000
Al  0.0000  0.5000  0.2500
Ga  0.0000  0.0000  0.3868
Pd  0.0000  0.5000  0.7500

Output
Fermi-level density of states	0.49	states/eV per atom
final energy	-4.6617	eV per atom



No. 20
A plane-wave DFT calculation with PBE was carried out for an optimized crystal structure of Ag4PtBr.

abc: 7.7984 7.7984 7.7984
angles: 90.00 90.00 90.00
Space group F-43m (No. 216)
Symmetry-distinct sites (fractional):
Ag  0.1243  0.1243  0.3757
Pt  0.2500  0.2500  0.7500
Br  0.0000  0.0000  0.0000

Output
Fermi-level density of states	0.81	states/eV per atom
final energy	-2.7705	eV per atom



No. 21
A plane-wave DFT calculation with PBE was carried out for an optimized crystal structure of LaPm3Hg.

abc: 11.6701 7.6393 8.1204
angles: 90.00 111.11 90.00
Space group C2/m (No. 12)
Symmetry-distinct sites (fractional):
La  0.0584  0.0000  0.2341
Pm  0.0612  0.5000  0.2456
Pm  0.1619  0.2499  0.6474
Hg  0.2392  0.5000  0.0000

Output
Fermi-level density of states	1.15	states/eV per atom
final energy	-3.9849	eV per atom



No. 22
A plane-wave DFT calculation with PBE was carried out for an optimized crystal structure of CuGe2Au2.

abc: 3.6821 3.6821 13.7963
angles: 90.00 90.00 90.00
Space group I4/mmm (No. 139)
Symmetry-distinct sites (fractional):
Cu  0.0000  0.0000  0.0000
Ge  0.0000  0.5000  0.2500
Au  0.0000  0.0000  0.4044

Output
Fermi-level density of states	0.31	states/eV per atom
final energy	-3.7020	eV per atom



No. 23
A plane-wave DFT calculation with PBE was carried out for an optimized crystal structure of AcCd2PtO6.

abc: 5.8031 5.9589 10.1546
angles: 90.00 124.84 90.00
Space group P2_1/c (No. 14)
Symmetry-distinct sites (fractional):
Ac  0.0000  0.0000  0.0000
Cd  0.2312  0.0277  0.7289
Pt  0.5000  0.0000  0.5000
O  0.1684  0.1553  0.4655
O  0.2442  0.7299  0.3992
O  0.4072  0.1126  0.2860

Output
Fermi-level density of states	0.72	states/eV per atom
final energy	-5.5307	eV per atom



No. 24
A plane-wave DFT calculation with PBE was carried out for an optimized crystal structure of Cu2RhSe.

abc: 3.2515 3.2515 5.4478
angles: 90.00 90.00 90.00
Space group P4mm (No. 99)
Symmetry-distinct sites (fractional):
Cu  0.0000  0.0000  0.0000
Cu  0.5000  0.5000  0.1997
Rh  0.0000  0.0000  0.4833
Se  0.5000  0.5000  0.6942

Output
Fermi-level density of states	0.88	states/eV per atom
final energy	-4.6901	eV per atom



No. 25
A plane-wave DFT calculation with PBE was carried out for an optimized crystal structure of Ag3BW.

abc: 5.1157 5.1157 5.1157
angles: 90.00 90.00 90.00
Space group Pm-3m (No. 221)
Symmetry-distinct sites (fractional):
Ag  0.0000  0.0000  0.5000
B  0.5000  0.5000  0.5000
W  0.0000  0.0000  0.0000

Output
Fermi-level density of states	0.93	states/eV per atom
final energy	-3.0621	eV per atom